Entry 1:
Tb2Er5Fe2 | PBE | optimized geometry

Computed properties:
Space group   No. 64

Cell lengths 10.452, 10.452, 6.932 Å; angles 90.00, 90.00, 38.96 degrees
Positions (direct):
Tb 0.233 0.233 0.000
Tb 0.267 0.267 0.500
Tb 0.733 0.733 0.500
Tb 0.767 0.767 0.000
Er 0.000 0.000 0.000
Er 0.075 0.711 0.679
Er 0.211 0.575 0.179
Er 0.289 0.925 0.679
Er 0.425 0.789 0.179
Er 0.500 0.500 0.500
Er 0.575 0.211 0.821
Er 0.711 0.075 0.321
Er 0.789 0.425 0.821
Er 0.925 0.289 0.321
Fe 0.110 0.890 0.394
Fe 0.390 0.610 0.894
Fe 0.610 0.390 0.106
Fe 0.890 0.110 0.606



Entry 2:
TbErFe4 | PBE | optimized geometry

Computed properties:
Space group   No. 216

Cell lengths 5.127, 5.127, 5.127 Å; angles 60.00, 60.00, 60.00 degrees
Positions (direct):
Tb 0.000 0.000 0.000
Er 0.750 0.750 0.750
Fe 0.375 0.375 0.375
Fe 0.375 0.375 0.875
Fe 0.375 0.875 0.375
Fe 0.875 0.375 0.375



Entry 3:
TbEr2Fe9 | PBE | optimized geometry

Computed properties:
Space group   No. 166

Cell lengths 8.553, 8.553, 8.553 Å; angles 34.50, 34.50, 34.50 degrees
Positions (direct):
Tb 0.000 0.000 0.000
Er 0.142 0.142 0.142
Er 0.858 0.858 0.858
Fe 0.082 0.582 0.582
Fe 0.333 0.333 0.333
Fe 0.418 0.418 0.918
Fe 0.418 0.918 0.418
Fe 0.500 0.500 0.500
Fe 0.582 0.082 0.582
Fe 0.582 0.582 0.082
Fe 0.667 0.667 0.667
Fe 0.918 0.418 0.418



Entry 4:
TbEr2Fe | PBE | optimized geometry

Computed properties:
Space group   No. 166

Cell lengths 3.509, 3.509, 29.289 Å; angles 90.00, 90.00, 120.00 degrees
Positions (direct):
Tb 0.000 0.000 0.000
Tb 0.333 0.667 0.667
Tb 0.667 0.333 0.333
Er 0.000 0.000 0.229
Er 0.000 0.000 0.771
Er 0.333 0.667 0.437
Er 0.333 0.667 0.896
Er 0.667 0.333 0.104
Er 0.667 0.333 0.563
Fe 0.000 0.000 0.500
Fe 0.333 0.667 0.167
Fe 0.667 0.333 0.833



Entry 5:
TbEr2Fe | PBE | optimized geometry

Computed properties:
Space group   No. 62

Cell lengths 7.013, 9.095, 6.232 Å; angles 90.00, 90.00, 90.00 degrees
Positions (direct):
Tb 0.049 0.250 0.135
Tb 0.451 0.750 0.635
Tb 0.549 0.250 0.365
Tb 0.951 0.750 0.865
Er 0.174 0.067 0.672
Er 0.174 0.433 0.672
Er 0.326 0.567 0.172
Er 0.326 0.933 0.172
Er 0.674 0.067 0.828
Er 0.674 0.433 0.828
Er 0.826 0.567 0.328
Er 0.826 0.933 0.328
Fe 0.110 0.750 0.466
Fe 0.390 0.250 0.966
Fe 0.610 0.750 0.034
Fe 0.890 0.250 0.534



Entry 6:
Tb2ErFe9 | PBE | optimized geometry

Computed properties:
Space group   No. 166

Cell lengths 8.621, 8.621, 8.621 Å; angles 34.32, 34.32, 34.32 degrees
Positions (direct):
Tb 0.142 0.142 0.142
Tb 0.858 0.858 0.858
Er 0.000 0.000 0.000
Fe 0.082 0.580 0.580
Fe 0.333 0.333 0.333
Fe 0.420 0.420 0.918
Fe 0.420 0.918 0.420
Fe 0.500 0.500 0.500
Fe 0.580 0.082 0.580
Fe 0.580 0.580 0.082
Fe 0.667 0.667 0.667
Fe 0.918 0.420 0.420



Looking at total magnetic moment for the records above, in order, we have 2.91; 6.98; 16.44; 3.87; 0.00; 17.44 μB/cell.
Looking at calculated formation energy for the records above, in order, we have 0.034; -0.091; -0.090; 0.192; -0.025; -0.067 eV/atom.